# BeRh2, relaxed, DFT PBE
# magnetic moment = 0.00 Bohr magnetons per cell
# calculated formation energy = -0.1910 eV per atom
# final energy = -19.00 eV/cell
data_BeRh2
_symmetry_space_group_name_H-M 'P -3 m 1'
_symmetry_Int_Tables_number 164
_symmetry_space_group_name_Hall '-P 3 2"'
_cell_length_a 2.6983
_cell_length_b 2.6983
_cell_length_c 5.9037
_cell_angle_alpha 90.00
_cell_angle_beta 90.00
_cell_angle_gamma 120.00
loop_
_atom_site_label
_atom_site_fract_x
_atom_site_fract_y
_atom_site_fract_z
Be1 0.0000 0.0000 0.0000
Rh1 0.3333 0.6667 0.3038